Entry 1:
## CuRePO2 (PBE)

Data for a relaxed structure of CuRePO2.

D(E_F)	2.4	states/eV/cell
energy relative to the elements, uncorrected	-0.599	eV per atom
size of the total moment	0.00	μB/f.u.
energy	-6.973	eV/atom

```
data_CuRePO2
_space_group_name_H-M_alt 'P 4/m m m'
_space_group_IT_number 123
_space_group_name_Hall '-P 4 2'
_cell_length_a 3.7296
_cell_length_b 3.7296
_cell_length_c 5.1190
_cell_angle_alpha 90.00
_cell_angle_beta 90.00
_cell_angle_gamma 90.00
loop_
_atom_site_label
_atom_site_type_symbol
_atom_site_fract_x
_atom_site_fract_y
_atom_site_fract_z
Cu1 Cu 0.0000 0.0000 0.0000
Re1 Re 0.5000 0.5000 0.5000
P1 P 0.5000 0.5000 0.0000
O1 O 0.0000 0.5000 0.5000
```


Entry 2:
## LiSb2Te (PBE)

Data for a relaxed structure of LiSb2Te.

D(E_F)	1.4	states/eV/cell
energy relative to the elements, uncorrected	-0.016	eV per atom
size of the total moment	0.00	μB/f.u.
energy	-3.341	eV/atom

```
data_LiSb2Te
_space_group_name_H-M_alt 'P 4/m m m'
_space_group_IT_number 123
_space_group_name_Hall '-P 4 2'
_cell_length_a 5.3260
_cell_length_b 5.3260
_cell_length_c 3.6467
_cell_angle_alpha 90.00
_cell_angle_beta 90.00
_cell_angle_gamma 90.00
loop_
_atom_site_label
_atom_site_type_symbol
_atom_site_fract_x
_atom_site_fract_y
_atom_site_fract_z
Li1 Li 0.0000 0.0000 0.0000
Sb1 Sb 0.0000 0.5000 0.5000
Te1 Te 0.5000 0.5000 0.0000
```


Entry 3:
## Tl3CO6 (PBE)

Data for a relaxed structure of Tl3CO6.

D(E_F)	7.0	states/eV/cell
energy relative to the elements, uncorrected	-0.828	eV per atom
size of the total moment	0.00	μB/f.u.
energy	-5.435	eV/atom

```
data_Tl3CO6
_space_group_name_H-M_alt 'C m c 21'
_space_group_IT_number 36
_cell_length_a 8.9228
_cell_length_b 10.8463
_cell_length_c 6.1118
_cell_angle_alpha 90.00
_cell_angle_beta 90.00
_cell_angle_gamma 90.00
loop_
_space_group_symop_operation_xyz
'x,y,z'
'-x,-y,z+1/2'
'-x,y,z'
'x,-y,z+1/2'
'x+1/2,y+1/2,z'
'-x+1/2,-y+1/2,z+1/2'
'-x+1/2,y+1/2,z'
'x+1/2,-y+1/2,z+1/2'
loop_
_atom_site_label
_atom_site_type_symbol
_atom_site_fract_x
_atom_site_fract_y
_atom_site_fract_z
Tl1 Tl 0.0000 0.0931 0.0000
Tl2 Tl 0.2024 0.3907 0.9936
C1 C 0.0000 0.3411 0.4322
O1 O 0.0000 0.2849 0.9016
O2 O 0.0000 0.4505 0.5248
O3 O 0.1274 0.2904 0.3807
O4 O 0.1626 0.9995 0.2372
```


Entry 4:
## PmHo5Er2Tm (PBE)

Data for a relaxed structure of PmHo5Er2Tm.

D(E_F)	58.6	states/eV/cell
size of the total moment	0.00	μB/f.u.
energy	-4.420	eV/atom
calculated formation energy	0.16	eV/atom

```
data_PmHo5Er2Tm
_space_group_name_H-M_alt 'C m c 21'
_space_group_IT_number 36
_cell_length_a 5.5648
_cell_length_b 19.6616
_cell_length_c 10.5001
_cell_angle_alpha 90.00
_cell_angle_beta 90.00
_cell_angle_gamma 90.00
loop_
_space_group_symop_operation_xyz
'x,y,z'
'-x,-y,z+1/2'
'-x,y,z'
'x,-y,z+1/2'
'x+1/2,y+1/2,z'
'-x+1/2,-y+1/2,z+1/2'
'-x+1/2,y+1/2,z'
'x+1/2,-y+1/2,z+1/2'
loop_
_atom_site_label
_atom_site_type_symbol
_atom_site_fract_x
_atom_site_fract_y
_atom_site_fract_z
Pm1 Pm 0.0000 0.0847 0.0000
Ho1 Ho 0.0000 0.0210 0.2843
Ho2 Ho 0.0000 0.1135 0.5688
Ho3 Ho 0.0000 0.2014 0.2558
Ho4 Ho 0.0000 0.2188 0.8594
Ho5 Ho 0.0000 0.4818 0.5701
Er1 Er 0.0000 0.3868 0.8640
Er2 Er 0.0000 0.3891 0.2825
Tm1 Tm 0.0000 0.3006 0.5587
```


- size of the total moment of number 2 (LiSb2Te)?
  0.00 μB/f.u.